Below is an optimized crystal structure of LiTaV2, with properties calculated at the GGA-PBE level.

Cell and atoms, written as CIF:
```
data_LiTaV2
_space_group_name_H-M_alt 'I -4 2 d'
_space_group_IT_number 122
_space_group_name_Hall 'I -4 2bw'
_cell_length_a 6.829
_cell_length_b 6.829
_cell_length_c 5.125
_cell_angle_alpha 90.00
_cell_angle_beta 90.00
_cell_angle_gamma 90.00
loop_
_atom_site_label
_atom_site_fract_x
_atom_site_fract_y
_atom_site_fract_z
Li1 0.000 0.000 0.000
Ta1 0.000 0.000 0.500
V1 0.229 0.250 0.125
```

uncorrected energy: -116.3 eV for the cell shown
E_form: 0.73 eV/atom
relative energy among the computed polymorphs: 29.6 kJ/mol of atoms